Material: AcNdMgAl
Method: DFT, GGA-PBE
State: optimized geometry Values from VASP.

Output
symmetry: F-43m
energy of formation from the pure elements: -180.3 meV per atom
DFT total energy: -14.9 eV/cell
ΔE to the lowest computed polymorph: 5 meV per atom

Quantum ESPRESSO input file:
```
&SYSTEM
  ibrav = 0, nat = 4, ntyp = 4
/
ATOMIC_SPECIES
Mg 24.30 Mg.upf
Ac 227.00 Ac.upf
Al 26.98 Al.upf
Nd 144.24 Nd.upf
ATOMIC_POSITIONS crystal
Mg 0.000 0.000 0.000
Ac 0.250 0.250 0.250
Al 0.500 0.500 0.500
Nd 0.750 0.750 0.750
CELL_PARAMETERS angstrom
-2.300 4.923 1.039
-5.144 0.280 2.016
-0.839 1.614 5.225
```


Material: IrRhW
Method: DFT, GGA-PBE
State: optimized geometry Values from VASP.

Output
symmetry: Imm2
energy of formation from the pure elements: -219.0 meV per atom
DFT total energy: -29.8 eV/cell
ΔE to the lowest computed polymorph: 50 meV per atom

Quantum ESPRESSO input file:
```
&SYSTEM
  ibrav = 0, nat = 3, ntyp = 3
/
ATOMIC_SPECIES
Ir 192.22 Ir.upf
Rh 102.91 Rh.upf
W 183.84 W.upf
ATOMIC_POSITIONS crystal
Ir 0.002 0.002 0.000
Rh 0.333 0.333 0.000
W 0.665 0.665 0.000
CELL_PARAMETERS angstrom
-4.767 0.349 0.494
-2.915 -0.742 -3.748
3.431 -1.809 2.837
```


Material: Y2CF2
Method: DFT, GGA-PBE
State: optimized geometry Values from VASP.

Output
symmetry: R-3m
ΔE_f (raw): -2.178 eV per atom
DFT total energy: -36.8 eV/cell
ΔE to the lowest computed polymorph: 0 meV per atom

Quantum ESPRESSO input file:
```
&SYSTEM
  ibrav = 0, nat = 5, ntyp = 3
/
ATOMIC_SPECIES
Y 88.91 Y.upf
C 12.01 C.upf
F 19.00 F.upf
ATOMIC_POSITIONS crystal
Y 0.392 0.392 0.825
C 0.000 0.000 0.000
F 0.887 0.887 0.339
Y 0.608 0.608 0.175
F 0.113 0.113 0.661
CELL_PARAMETERS angstrom
3.446 0.000 0.541
1.680 3.008 0.541
0.445 0.261 8.411
```


Material: Sm5TmSc4
Method: DFT, GGA-PBE
State: optimized geometry Values from VASP.

Output
symmetry: P4/mmm
energy of formation from the pure elements: 45.8 meV per atom
DFT total energy: -52.9 eV/cell
ΔE to the lowest computed polymorph: 0 meV per atom

Quantum ESPRESSO input file:
```
&SYSTEM
  ibrav = 0, nat = 10, ntyp = 3
/
ATOMIC_SPECIES
Sc 44.96 Sc.upf
Sm 150.36 Sm.upf
Tm 168.93 Tm.upf
ATOMIC_POSITIONS crystal
Sc 0.000 0.000 0.598
Sm 0.500 0.500 0.107
Sc 0.000 0.000 0.795
Tm 0.000 0.000 0.000
Sm 0.500 0.500 0.304
Sm 0.500 0.500 0.696
Sm 0.500 0.500 0.893
Sc 0.000 0.000 0.205
Sm 0.500 0.500 0.500
Sc 0.000 0.000 0.402
CELL_PARAMETERS angstrom
3.543 0.000 0.000
0.000 3.543 0.000
0.000 0.000 23.408
```


Material: Ta4ZnFe
Method: DFT, GGA-PBE
State: optimized geometry Values from VASP.

Output
symmetry: F-43m
energy of formation from the pure elements: 650.8 meV per atom
DFT total energy: -53.2 eV/cell
ΔE to the lowest computed polymorph: 704 meV per atom

Quantum ESPRESSO input file:
```
&SYSTEM
  ibrav = 0, nat = 6, ntyp = 3
/
ATOMIC_SPECIES
Ta 180.95 Ta.upf
Fe 55.84 Fe.upf
Zn 65.41 Zn.upf
ATOMIC_POSITIONS crystal
Ta 0.625 0.125 0.625
Ta 0.125 0.625 0.625
Fe 0.000 0.000 0.000
Zn 0.250 0.250 0.250
Ta 0.625 0.625 0.625
Ta 0.625 0.625 0.125
CELL_PARAMETERS angstrom
0.000 3.808 3.808
3.808 0.000 3.808
3.808 3.808 0.000
```


Material: Tb3Sb
Method: DFT, GGA-PBE
State: optimized geometry Values from VASP.

Output
symmetry: P2_1/m
ΔE_f (raw): -0.502 eV per atom
DFT total energy: -40.0 eV/cell
ΔE to the lowest computed polymorph: 87 meV per atom

Quantum ESPRESSO input file:
```
&SYSTEM
  ibrav = 0, nat = 8, ntyp = 2
/
ATOMIC_SPECIES
Tb 158.93 Tb.upf
Sb 121.76 Sb.upf
ATOMIC_POSITIONS crystal
Tb 0.250 0.587 0.857
Tb 0.750 0.904 0.130
Tb 0.750 0.413 0.143
Sb 0.750 0.287 0.661
Tb 0.250 0.229 0.413
Tb 0.750 0.771 0.587
Sb 0.250 0.713 0.339
Tb 0.250 0.096 0.870
CELL_PARAMETERS angstrom
-3.554 0.268 -1.862
2.061 -4.163 -4.533
-3.744 -6.100 6.270
```